# VCdGa2O6 PBE with a Hubbard U optimized geometry
data_VCdGa2O6
_cell_length_a 9.255
_cell_length_b 10.898
_cell_length_c 5.900
_cell_angle_alpha 90.00
_cell_angle_beta 114.82
_cell_angle_gamma 90.00
_symmetry_space_group_name_H-M 'C 1 2/c 1'
_symmetry_Int_Tables_number 15
loop_
_symmetry_equiv_pos_as_xyz
'x,y,z'
'-x,-y,-z'
'-x,y,-z+1/2'
'x,-y,z+1/2'
'x+1/2,y+1/2,z'
'-x+1/2,-y+1/2,-z'
'-x+1/2,y+1/2,-z+1/2'
'x+1/2,-y+1/2,z+1/2'
loop_
_atom_site_label
_atom_site_fract_x
_atom_site_fract_y
_atom_site_fract_z
V1 0.000 0.196 0.250
Cd1 0.000 0.100 0.750
Ga1 0.136 0.424 0.677
O1 0.105 0.257 0.559
O2 0.117 0.438 0.980
O3 0.129 0.081 0.188
# DFT total energy = -6.0645 eV per atom